## CdCu5 (meta-GGA SCAN)

Data for a crystal of CdCu5 relaxed with PBEsol.

## Properties
Energy above the most stable polymorph in this dataset, meV per atom: 8
ΔH_f (0 K), kJ per mole of atoms: 6.08
VASP energy, eV per formula unit: -106.03
Spin magnetization, μB/atom: 0.0000

Unit cell a=4.2259 b=4.5513 c=4.5513 alpha=120.00 beta=90.00 gamma=90.00
Last column: nearest neighbours and their distance in Å.
Positions (direct):
Cd 0.5000 0.0000 0.0000  12 Cu 2.63-2.68
Cu 0.0000 0.3619 0.3619  8 Cu 2.52-2.57, 2 Cd 2.68
Cu 0.0000 0.6381 0.0000  8 Cu 2.52-2.57, 2 Cd 2.68
Cu 0.0000 0.0000 0.6381  8 Cu 2.52-2.57, 2 Cd 2.68
Cu 0.5000 0.3333 0.6667  9 Cu 2.57-2.63, 3 Cd 2.63
Cu 0.5000 0.6667 0.3333  9 Cu 2.57-2.63, 3 Cd 2.63